1.
## Ac4ZnTe2S (PBE)

Data for crystalline Ac4ZnTe2S at its relaxed geometry.

## Properties
- density of states at the Fermi level (states/eV per atom) = 0.4985
- ΔE_f (raw) (meV per atom) = -1280
- V (Å³ per atom) = 34.6
- theoretical density (Mg/m³) = 7.56
- space group = P2/m

a = 4.4707 Å, b = 7.9432 Å, c = 8.2145 Å
α = 108.28°, β = 90.00°, γ = 90.00°
Last column: nearest neighbours and their distance in Å.
Positions (direct):
Ac (0.5000, 0.2360, 0.2221)  2 S 3.11, 1 Zn 3.18, 3 Te 3.38-3.41
Ac (0.5000, 0.7640, 0.7779)  2 S 3.11, 1 Zn 3.18, 3 Te 3.38-3.41
Ac (0.0000, 0.2577, 0.7714)  2 Zn 3.16, 1 S 3.18, 3 Te 3.36-3.37
Ac (0.0000, 0.7423, 0.2286)  2 Zn 3.16, 1 S 3.18, 3 Te 3.36-3.37
Zn (0.5000, 0.5000, 0.0000)  6 Ac 3.16-3.18
Te (0.5000, 0.0000, 0.5000)  6 Ac 3.36-3.38
Te (0.0000, 0.5000, 0.5000)  6 Ac 3.37-3.41
S (0.0000, 0.0000, 0.0000)  6 Ac 3.11-3.18

2.
## PrPd4 (PBE)

Data for crystalline PrPd4 at its relaxed geometry.

## Properties
- density of states at the Fermi level (states/eV per atom) = 0.7204
- final energy (eV per atom) = -5.68
- V (Å³ per atom) = 18.4
- theoretical density (Mg/m³) = 10.21
- space group = Imma

a = 4.4523 Å, b = 5.9118 Å, c = 7.9193 Å
α = 111.92°, β = 106.33°, γ = 90.00°
Last column: nearest neighbours and their distance in Å.
Positions (direct):
Pr (0.8919, 0.1419, 0.7837)  13 Pd 2.96-3.18
Pr (0.1081, 0.8581, 0.2163)  13 Pd 2.96-3.18
Pd (0.1117, 0.3617, 0.2234)  10 Pd 2.86-3.10, 3 Pr 2.96-3.08
Pd (0.8883, 0.6383, 0.7766)  10 Pd 2.86-3.10, 3 Pr 2.96-3.08
Pd (0.5000, 0.0000, 0.0000)  4 Pd 2.75-2.96, 4 Pr 3.07
Pd (0.5000, 0.5000, 0.0000)  4 Pd 2.75-2.96, 4 Pr 3.07
Pd (0.6959, 0.2161, 0.3918)  6 Pd 2.69-2.86, 2 Pr 3.00
Pd (0.3041, 0.7839, 0.6082)  6 Pd 2.69-2.86, 2 Pr 3.00
Pd (0.3041, 0.3243, 0.6082)  6 Pd 2.69-2.86, 2 Pr 3.00
Pd (0.6959, 0.6757, 0.3918)  6 Pd 2.69-2.86, 2 Pr 3.00

3.
## CaNbCu2Br (PBE)

Data for crystalline CaNbCu2Br at its relaxed geometry.

## Properties
- density of states at the Fermi level (states/eV per atom) = 0.7995
- ΔE_f (raw) (meV per atom) = 972
- V (Å³ per atom) = 23.9
- theoretical density (Mg/m³) = 4.72
- space group = P4/mmm

a = 4.7847 Å, b = 5.2199 Å, c = 4.7847 Å
α = 90.00°, β = 90.00°, γ = 90.00°
Last column: nearest neighbours and their distance in Å.
Positions (direct):
Nb (0.5000, 0.5000, 0.5000)  4 Ca 3.38, 8 Cu 3.54
Ca (0.0000, 0.5000, 0.0000)  2 Br 2.61
Cu (0.0000, 0.0000, 0.5000)  2 Br 2.39
Cu (0.5000, 0.0000, 0.0000)  2 Br 2.39
Br (0.0000, 0.0000, 0.0000)  4 Cu 2.39, 2 Ca 2.61

4.
## Dy2BiH (PBE)

Data for crystalline Dy2BiH at its relaxed geometry.

## Properties
- density of states at the Fermi level (states/eV per atom) = 0.5666
- V (Å³ per atom) = 23.6
- theoretical density (Mg/m³) = 9.41
- space group = P2_1/c
- energy above the most stable polymorph in this dataset (eV/atom) = 0.000

a = 7.5777 Å, b = 6.4677 Å, c = 7.8214 Å
α = 90.00°, β = 80.22°, γ = 90.00°
Last column: nearest neighbours and their distance in Å.
Positions (direct):
Dy (0.5193, 0.6655, 0.1814)  1 H 2.21
Dy (0.0193, 0.8345, 0.1814)  1 H 2.21
Dy (0.8237, 0.3618, 0.4457)  3 H 2.21-2.28
Dy (0.9807, 0.1655, 0.8186)  1 H 2.21
Dy (0.1763, 0.6382, 0.5543)  3 H 2.21-2.28
Dy (0.6763, 0.8618, 0.5543)  3 H 2.21-2.28
Dy (0.4807, 0.3345, 0.8186)  1 H 2.21
Dy (0.3237, 0.1382, 0.4457)  3 H 2.21-2.28
Bi (0.1711, 0.3736, 0.1525)  6 Dy 3.13-3.46, 2 H 3.22-3.31
Bi (0.3289, 0.8736, 0.8475)  6 Dy 3.13-3.46, 2 H 3.22-3.31
Bi (0.6711, 0.1264, 0.1525)  6 Dy 3.13-3.46, 2 H 3.22-3.31
Bi (0.8289, 0.6264, 0.8475)  6 Dy 3.13-3.46, 2 H 3.22-3.31
H (0.5753, 0.1834, 0.5662)  4 Dy 2.21-2.28
H (0.0753, 0.3166, 0.5662)  4 Dy 2.21-2.28
H (0.4247, 0.8166, 0.4338)  4 Dy 2.21-2.28
H (0.9247, 0.6834, 0.4338)  4 Dy 2.21-2.28

5.
## SmSnAu2 (PBE)

Data for crystalline SmSnAu2 at its relaxed geometry.

## Properties
- density of states at the Fermi level (states/eV per atom) = 0.4310
- final energy (eV per atom) = -4.51
- V (Å³ per atom) = 22.6
- theoretical density (Mg/m³) = 12.18
- space group = Fm-3m

a = 5.0372 Å, b = 5.0372 Å, c = 5.0372 Å
α = 60.00°, β = 60.00°, γ = 60.00°
Last column: nearest neighbours and their distance in Å.
Positions (direct):
Au (0.7500, 0.7500, 0.7500)  4 Sm 3.08, 4 Sn 3.08
Au (0.2500, 0.2500, 0.2500)  4 Sn 3.08, 4 Sm 3.08
Sn (0.0000, 0.0000, 0.0000)  8 Au 3.08
Sm (0.5000, 0.5000, 0.5000)  8 Au 3.08

6.
## Ba2AsOs (PBE)

Data for crystalline Ba2AsOs at its relaxed geometry.

## Properties
- density of states at the Fermi level (states/eV per atom) = 0.6582
- final energy (eV per atom) = -5.00
- V (Å³ per atom) = 30.7
- theoretical density (Mg/m³) = 7.30
- space group = Imm2

a = 6.5420 Å, b = 6.5420 Å, c = 5.2166 Å
α = 66.51°, β = 66.51°, γ = 37.32°
Last column: nearest neighbours and their distance in Å.
Positions (direct):
As (0.1820, 0.1820, 0.3180)  2 Os 2.39
Os (0.5801, 0.5801, 0.4199)  2 As 2.39
Ba (0.9731, 0.9731, 0.0271)  4 Ba 3.50-3.89, 4 As 3.51-3.89, 4 Os 3.55
Ba (0.7649, 0.7649, 0.7350)  2 Os 3.33-3.34, 4 As 3.47, 2 Ba 3.50-3.51

7.
## NdGa3Au (PBE)

Data for crystalline NdGa3Au at its relaxed geometry.

## Properties
- density of states at the Fermi level (states/eV per atom) = 0.3019
- V (Å³ per atom) = 20.4
- theoretical density (Mg/m³) = 8.95
- space group = P2_1/m
- energy above the most stable polymorph in this dataset (eV/atom) = 0.004

a = 6.2900 Å, b = 6.1049 Å, c = 6.2894 Å
α = 90.00°, β = 57.71°, γ = 90.00°
Last column: nearest neighbours and their distance in Å.
Positions (direct):
Nd (0.7481, 0.7500, 0.2487)  12 Ga 3.25-3.51, 4 Au 3.32
Nd (0.2519, 0.2500, 0.7513)  12 Ga 3.25-3.51, 4 Au 3.32
Ga (0.7610, 0.9997, 0.7385)  2 Au 2.62, 3 Ga 2.63-2.90
Ga (0.2390, 0.0003, 0.2615)  2 Au 2.62, 3 Ga 2.63-2.90
Ga (0.7610, 0.5003, 0.7385)  2 Au 2.62, 3 Ga 2.63-2.90
Ga (0.2390, 0.4997, 0.2615)  2 Au 2.62, 3 Ga 2.63-2.90
Ga (0.1425, 0.7500, 0.6429)  1 Au 2.52, 4 Ga 2.63
Ga (0.8575, 0.2500, 0.3571)  1 Au 2.52, 4 Ga 2.63
Au (0.3702, 0.7500, 0.8717)  5 Ga 2.52-2.62
Au (0.6298, 0.2500, 0.1283)  5 Ga 2.52-2.62

8.
## La2PbBr8 (PBE)

Data for crystalline La2PbBr8 at its relaxed geometry.

## Properties
- density of states at the Fermi level (states/eV per atom) = 0.0000
- ΔE_f (raw) (meV per atom) = -1689
- V (Å³ per atom) = 37.7
- theoretical density (Mg/m³) = 4.51
- space group = C2/m

a = 4.3049 Å, b = 8.4910 Å, c = 11.6110 Å
α = 83.60°, β = 100.68°, γ = 90.00°
Last column: nearest neighbours and their distance in Å.
Positions (direct):
La (0.1596, 0.6631, 0.3191)  8 Br 2.95-3.20
La (0.8404, 0.3369, 0.6809)  8 Br 2.95-3.20
Pb (0.5000, 0.0000, 0.0000)  6 Br 3.04-3.07
Br (0.6142, 0.4718, 0.2284)  2 La 2.95
Br (0.3648, 0.0660, 0.7296)  1 Pb 3.07, 2 La 3.15, 1 Br 3.40
Br (0.2415, 0.3306, 0.4829)  3 La 3.12-3.20, 1 Br 3.40
Br (0.0201, 0.7470, 0.0403)  2 Pb 3.04, 1 La 3.18
Br (0.7585, 0.6694, 0.5171)  3 La 3.12-3.20, 1 Br 3.40
Br (0.6352, 0.9340, 0.2704)  1 Pb 3.07, 2 La 3.15, 1 Br 3.40
Br (0.3858, 0.5282, 0.7716)  2 La 2.95
Br (0.9799, 0.2530, 0.9597)  2 Pb 3.04, 1 La 3.18

9.
## MgAlRe2 (PBE)

Data for crystalline MgAlRe2 at its relaxed geometry.

## Properties
- density of states at the Fermi level (states/eV per atom) = 0.4982
- V (Å³ per atom) = 15.0
- theoretical density (Mg/m³) = 11.73
- space group = F-43m
- energy above the most stable polymorph in this dataset (eV/atom) = 0.043

a = 4.3946 Å, b = 4.3946 Å, c = 4.3946 Å
α = 120.05°, β = 120.05°, γ = 89.91°
Last column: nearest neighbours and their distance in Å.
Positions (direct):
Al (0.5000, 0.5000, 0.0000)  4 Mg 2.69, 4 Re 2.69
Mg (0.7500, 0.2500, 0.5000)  4 Re 2.69, 4 Al 2.69
Re (0.0000, 0.0000, 0.0000)  4 Re 2.69, 4 Mg 2.69
Re (0.2500, 0.7500, 0.5000)  4 Re 2.69, 4 Al 2.69

10.
## TaNb2Zn2O8 (PBE)

Data for crystalline TaNb2Zn2O8 at its relaxed geometry.

## Properties
- density of states at the Fermi level (states/eV per atom) = 0.1444
- ΔE_f (raw) (meV per atom) = -2136
- V (Å³ per atom) = 11.9
- theoretical density (Mg/m³) = 6.72
- space group = P-1

a = 5.2778 Å, b = 5.9751 Å, c = 10.0650 Å
α = 102.95°, β = 91.84°, γ = 91.67°
Last column: nearest neighbours and their distance in Å.
Positions (direct):
Ta (0.7553, 0.6534, 0.9924)  6 O 1.93-2.15
Ta (0.2447, 0.3466, 0.0076)  6 O 1.93-2.15
Nb (0.7009, 0.2337, 0.2428)  6 O 2.00-2.21
Nb (0.7338, 0.0139, 0.7717)  5 O 2.00-2.21
Nb (0.2991, 0.7663, 0.7572)  6 O 2.00-2.21
Nb (0.2662, 0.9861, 0.2283)  5 O 2.00-2.21
Zn (0.7878, 0.4312, 0.5692)  4 O 1.96-2.09
Zn (0.7305, 0.8512, 0.4447)  3 O 1.98-2.02
Zn (0.2122, 0.5688, 0.4308)  4 O 1.96-2.09
Zn (0.2695, 0.1488, 0.5553)  3 O 1.98-2.02
O (0.0558, 0.1971, 0.1302)  1 Ta 1.96, 1 Nb 2.09
O (0.4020, 0.0944, 0.8884)  1 Ta 1.93, 2 Nb 2.15
O (0.9442, 0.8029, 0.8698)  1 Ta 1.96, 1 Nb 2.09
O (0.5980, 0.9056, 0.1116)  1 Ta 1.93, 2 Nb 2.15
O (0.5816, 0.4453, 0.1123)  2 Ta 2.04-2.13, 1 Nb 2.11
O (0.9135, 0.3329, 0.8974)  2 Ta 2.03-2.15, 1 Nb 2.21
O (0.4184, 0.5547, 0.8877)  2 Ta 2.04-2.13, 1 Nb 2.11
O (0.0865, 0.6671, 0.1026)  2 Ta 2.03-2.15, 1 Nb 2.21
O (0.3998, 0.2881, 0.3646)  1 Zn 1.97, 2 Nb 2.03-2.10
O (0.0841, 0.9408, 0.6507)  1 Zn 1.99, 1 Nb 2.00
O (0.3618, 0.8427, 0.3838)  2 Zn 1.96-2.02, 1 Nb 2.00
O (0.1553, 0.4672, 0.6138)  3 Zn 1.97-2.09, 1 Nb 2.13
O (0.6382, 0.1573, 0.6162)  2 Zn 1.96-2.02, 1 Nb 2.00
O (0.8447, 0.5328, 0.3862)  3 Zn 1.97-2.09, 1 Nb 2.13
O (0.9159, 0.0592, 0.3493)  1 Zn 1.99, 1 Nb 2.00
O (0.6002, 0.7119, 0.6354)  1 Zn 1.97, 2 Nb 2.03-2.10

11.
## Pm5SiHg4 (PBE)

Data for crystalline Pm5SiHg4 at its relaxed geometry.

## Properties
- density of states at the Fermi level (states/eV per atom) = 1.1473
- ΔE_f (raw) (meV per atom) = -472
- V (Å³ per atom) = 26.8
- theoretical density (Mg/m³) = 9.62
- space group = P4/mmm

a = 3.8074 Å, b = 3.8074 Å, c = 18.5205 Å
α = 90.00°, β = 90.00°, γ = 90.00°
Last column: nearest neighbours and their distance in Å.
Positions (direct):
Pm (0.5000, 0.5000, 0.0853)  4 Si 3.12, 1 Pm 3.16, 4 Hg 3.33
Pm (0.5000, 0.5000, 0.2930)  8 Hg 3.28-3.30
Pm (0.5000, 0.5000, 0.5000)  8 Hg 3.31
Pm (0.5000, 0.5000, 0.7070)  8 Hg 3.28-3.30
Pm (0.5000, 0.5000, 0.9147)  4 Si 3.12, 1 Pm 3.16, 4 Hg 3.33
Si (0.0000, 0.0000, 0.0000)  8 Pm 3.12
Hg (0.0000, 0.0000, 0.1915)  8 Pm 3.28-3.33, 1 Si 3.55
Hg (0.0000, 0.0000, 0.3964)  8 Pm 3.30-3.31
Hg (0.0000, 0.0000, 0.6036)  8 Pm 3.30-3.31
Hg (0.0000, 0.0000, 0.8085)  8 Pm 3.28-3.33, 1 Si 3.55

12.
## Sr2AlZn4Pd3 (PBE)

Data for crystalline Sr2AlZn4Pd3 at its relaxed geometry.

## Properties
- density of states at the Fermi level (states/eV per atom) = 0.4549
- final energy (eV per atom) = -3.26
- V (Å³ per atom) = 20.4
- theoretical density (Mg/m³) = 6.36
- space group = P-4m2

a = 4.2929 Å, b = 4.2929 Å, c = 11.0900 Å
α = 90.00°, β = 90.00°, γ = 90.00°
Last column: nearest neighbours and their distance in Å.
Positions (direct):
Sr (0.5000, 0.0000, 0.2475)  6 Pd 3.30-3.53, 8 Zn 3.31-3.48, 2 Al 3.53
Sr (0.0000, 0.5000, 0.7525)  6 Pd 3.30-3.53, 8 Zn 3.31-3.48, 2 Al 3.53
Al (0.5000, 0.5000, 0.5000)  4 Zn 2.61
Zn (0.5000, 0.5000, 0.0000)  4 Pd 2.59
Zn (0.0000, 0.0000, 0.0000)  4 Pd 2.59
Zn (0.5000, 0.0000, 0.6343)  3 Pd 2.60-2.61, 2 Al 2.61
Zn (0.0000, 0.5000, 0.3657)  3 Pd 2.60-2.61, 2 Al 2.61
Pd (0.0000, 0.0000, 0.5000)  4 Zn 2.61
Pd (0.5000, 0.0000, 0.8688)  5 Zn 2.59-2.60
Pd (0.0000, 0.5000, 0.1312)  5 Zn 2.59-2.60

no.,magnetic moment (μB per cell)
1,0.00
2,0.00
3,3.50
4,0.00
5,0.00
6,0.00
7,0.00
8,0.00
9,0.00
10,0.00
11,1.30
12,0.00